## A
# PBE SmZn3Ag, relaxed
# Total moment ... 0.00 Bohr magnetons per cell
data_SmZn3Ag
_cell_length_a 7.914
_cell_length_b 6.287
_cell_length_c 4.801
_cell_angle_alpha 90.00
_cell_angle_beta 127.23
_cell_angle_gamma 90.00
_space_group_name_H-M_alt 'C 1 m 1'
_space_group_IT_number 8
_space_group_name_Hall 'C -2y'
loop_
_atom_site_label
_atom_site_type_symbol
_atom_site_fract_x
_atom_site_fract_y
_atom_site_fract_z
_atom_site_occupancy
Sm1 Sm 0.000 0.000 0.000 1
Zn1 Zn 0.290 0.000 0.789 1
Zn2 Zn 0.499 0.195 0.499 1
Ag1 Ag 0.193 0.500 0.194 1

---

## B
# PBE SmZn3Ag, relaxed
# Total moment ... 0.00 Bohr magnetons per cell
data_SmZn3Ag
_cell_length_a 5.465
_cell_length_b 5.546
_cell_length_c 6.277
_cell_angle_alpha 90.00
_cell_angle_beta 91.26
_cell_angle_gamma 90.00
_space_group_name_H-M_alt 'P 1 21/m 1'
_space_group_IT_number 11
_space_group_name_Hall '-P 2yb'
loop_
_atom_site_label
_atom_site_type_symbol
_atom_site_fract_x
_atom_site_fract_y
_atom_site_fract_z
_atom_site_occupancy
Sm1 Sm 0.158 0.250 0.162 1
Zn1 Zn 0.350 0.012 0.678 1
Zn2 Zn 0.358 0.750 0.039 1
Ag1 Ag 0.085 0.750 0.386 1

---

Name the most stable of them. A.

---

## A
# PBE Sm3Zn2Ag3, relaxed
# Total moment ... 0.00 Bohr magnetons per cell
data_Sm3Zn2Ag3
_cell_length_a 4.628
_cell_length_b 10.647
_cell_length_c 15.105
_cell_angle_alpha 90.00
_cell_angle_beta 90.00
_cell_angle_gamma 90.00
_space_group_name_H-M_alt 'C m c m'
_space_group_IT_number 63
_space_group_name_Hall '-C 2c 2'
loop_
_atom_site_label
_atom_site_type_symbol
_atom_site_fract_x
_atom_site_fract_y
_atom_site_fract_z
_atom_site_occupancy
Sm1 Sm 0.000 0.089 0.104 1
Sm2 Sm 0.000 0.370 0.250 1
Zn1 Zn 0.000 0.206 0.601 1
Ag1 Ag 0.000 0.342 0.750 1
Ag2 Ag 0.000 0.382 0.042 1

---

## B
# PBE Sm3Zn2Ag3, relaxed
# Total moment ... 0.00 Bohr magnetons per cell
data_Sm3Zn2Ag3
_cell_length_a 7.3243
_cell_length_b 7.3243
_cell_length_c 4.0446
_cell_angle_alpha 90.00
_cell_angle_beta 90.00
_cell_angle_gamma 120.00
_space_group_name_H-M_alt 'P -6 2 m'
_space_group_IT_number 189
_space_group_name_Hall 'P -6 -2'
loop_
_atom_site_label
_atom_site_type_symbol
_atom_site_fract_x
_atom_site_fract_y
_atom_site_fract_z
_atom_site_occupancy
Sm1 Sm 0.0000 0.6185 0.0000 1
Zn1 Zn 0.3333 0.6667 0.5000 1
Ag1 Ag 0.0000 0.2416 0.5000 1

---

Name the most stable of them. A.

---

## A
# PBE Sm2ZnAg, relaxed
# Total moment ... 0.00 Bohr magnetons per cell
data_Sm2ZnAg
_cell_length_a 7.362
_cell_length_b 7.362
_cell_length_c 7.362
_cell_angle_alpha 90.00
_cell_angle_beta 90.00
_cell_angle_gamma 90.00
_space_group_name_H-M_alt 'F m -3 m'
_space_group_IT_number 225
_space_group_name_Hall '-F 4 2 3'
loop_
_atom_site_label
_atom_site_type_symbol
_atom_site_fract_x
_atom_site_fract_y
_atom_site_fract_z
_atom_site_occupancy
Sm1 Sm 0.250 0.250 0.250 1
Zn1 Zn 0.000 0.000 0.000 1
Ag1 Ag 0.000 0.000 0.500 1

---

## B
# PBE Sm2ZnAg, relaxed
# Total moment ... 0.00 Bohr magnetons per cell
data_Sm2ZnAg
_cell_length_a 3.688
_cell_length_b 3.688
_cell_length_c 7.290
_cell_angle_alpha 90.00
_cell_angle_beta 90.00
_cell_angle_gamma 90.00
_space_group_name_H-M_alt 'P 4/m m m'
_space_group_IT_number 123
_space_group_name_Hall '-P 4 2'
loop_
_atom_site_label
_atom_site_type_symbol
_atom_site_fract_x
_atom_site_fract_y
_atom_site_fract_z
_atom_site_occupancy
Sm1 Sm 0.000 0.000 0.242 1
Zn1 Zn 0.500 0.500 0.000 1
Ag1 Ag 0.500 0.500 0.500 1

---

Name the most stable of them. B.